1.
An optimized crystal structure of Nd2Y3Ag3. Source: the Alexandria database, functional GGA-PBE.

Cell lengths 3.735, 5.291, 21.868 Å; angles 90.00, 90.00, 90.00 degrees
Space group Immm (No. 71)
Asymmetric unit:
Nd: 0.000 0.000 0.230 x4
Y: 0.000 0.000 0.000 x2
Y: 0.000 0.500 0.118 x4
Ag: 0.000 0.000 0.500 x2
Ag: 0.000 0.500 0.387 x4

Calculated formation energy in eV per atom: -0.20
Spin magnetization in μB/f.u.: 0.00
Total energy in eV for the cell shown: -78.20

2.
An optimized crystal structure of NdYAg3. Source: the Alexandria database, functional GGA-PBE.

Cell lengths 3.605, 28.155, 4.807 Å; angles 90.00, 90.00, 90.00 degrees
Space group Cmcm (No. 63)
Asymmetric unit:
Nd: 0.000 0.075 0.250 x4
Y: 0.000 0.209 0.750 x4
Ag: 0.000 0.322 0.750 x4
Ag: 0.000 0.378 0.250 x4
Ag: 0.000 0.476 0.250 x4

Calculated formation energy in eV per atom: -0.26
Spin magnetization in μB/f.u.: 0.00
Total energy in eV for the cell shown: -84.40

3.
An optimized crystal structure of Nd4YAg5. Source: the Alexandria database, functional GGA-PBE.

Cell lengths 3.698, 3.698, 19.035 Å; angles 90.00, 90.00, 90.00 degrees
Space group P4/mmm (No. 123)
Asymmetric unit:
Nd: 0.000 0.000 0.101 x2
Nd: 0.000 0.000 0.304 x2
Y: 0.000 0.000 0.500 x1
Ag: 0.500 0.500 0.000 x1
Ag: 0.500 0.500 0.202 x2
Ag: 0.500 0.500 0.408 x2

Calculated formation energy in eV per atom: -0.27
Spin magnetization in μB/f.u.: 0.00
Total energy in eV for the cell shown: -42.51